Below is crystalline CuAgRuRh2 at its relaxed geometry, with properties calculated at the PBE level.

Cell: 4.605 5.057 4.605 Å, 90.00 90.00 90.00°
Fractional positions:
1 Ag 0.000 0.500 0.000
2 Rh 0.500 0.000 0.000
3 Cu 0.500 0.500 0.500
4 Rh 0.000 0.000 0.500
5 Ru 0.000 0.000 0.000

final energy	-4.7689	eV per atom
volume	21.45	Å³ per atom